Entry 1:
Below is Mg2InB2 after structural relaxation, with properties calculated at the PBEsol level.

```
10
Lattice="7.416 0.000 0.000 0.000 7.416 0.000 0.000 0.000 2.755" Properties=species:S:1:pos:R:3 pbc="T T T"
Mg 0.970 2.738 0.000
Mg 2.738 6.446 0.000
Mg 4.679 0.970 0.000
Mg 6.446 4.679 0.000
In 0.000 0.000 0.000
In 3.708 3.708 0.000
B 1.269 4.977 1.377
B 2.439 1.269 1.377
B 4.977 6.148 1.377
B 6.148 2.439 1.377
```

Properties
M_tot in μB/cell: 0.00
Calculated density in g/cm3: 4.06
ΔE_f in meV/atom: 901
Total DFT energy (no corrections) in eV per atom: -3.19

---

Entry 2:
Below is Mg3InB after structural relaxation, with properties calculated at the PBEsol level.

```
5
Lattice="5.195 0.000 0.000 0.000 5.195 0.000 0.000 0.000 5.195" Properties=species:S:1:pos:R:3 pbc="T T T"
Mg 0.000 0.000 2.598
Mg 0.000 2.598 0.000
Mg 2.598 0.000 0.000
In 0.000 0.000 0.000
B 2.598 2.598 2.598
```

Properties
M_tot in μB/cell: 0.00
Calculated density in g/cm3: 2.35
ΔE_f in meV/atom: 1243
Total DFT energy (no corrections) in eV per atom: -1.79